# 1
AcPPdO PBE relaxed; final energy = -6.8200 eV per atom; spin magnetization = 0.00 μB per formula unit
1.0
-2.7801 0.3523 -3.2019
-0.4762 -4.2280 -0.0516
-6.3424 0.6463 5.5780
Ac O P Pd
2 2 2 2
Cartesian
-1.7583 -0.8727 0.0170
-7.8405 -2.3567 2.3074
-2.2041 -0.7928 -2.4143
-1.0522 -3.0829 -0.8392
-4.7471 -2.6719 -0.4131
-4.8517 -0.5575 2.7375
-5.3753 -0.4697 0.3746
-4.2234 -2.7598 1.9498

# 2
AcPPdO PBE relaxed; final energy = -6.4757 eV per atom; spin magnetization = 0.00 μB per formula unit
1.0
4.7264 0.0000 0.0000
0.0000 4.2887 0.0000
0.0000 0.0000 7.3469
Ac O P Pd
2 2 2 2
Cartesian
2.3632 1.0632 0.7670
2.3632 3.2255 4.4404
2.3632 1.0814 3.2256
2.3632 3.2073 6.8990
0.0000 3.2268 2.0020
0.0000 1.0619 5.6755
0.0000 1.0831 3.2184
0.0000 3.2056 6.8919

final energy of number 2 (AcPPdO)? -6.4757 eV per atom